## Ho4MgZn5 (GGA-PBE)

Data for an optimized crystal structure of Ho4MgZn5.

Cell lengths 3.518, 3.518, 17.419 Å; angles 90.00, 90.00, 90.00 degrees
Space group P4/mmm (No. 123)
Inequivalent atoms, fractional coordinates:
1 Ho 0.000 0.000 0.103 [2 per cell]
2 Ho 0.000 0.000 0.307 [2 per cell]
3 Mg 0.000 0.000 0.500 [1 per cell]
4 Zn 0.500 0.500 0.000 [1 per cell]
5 Zn 0.500 0.500 0.205 [2 per cell]
6 Zn 0.500 0.500 0.413 [2 per cell]

Calculated values
The formation energy is -0.298 eV/atom.

## Ho4Mg3Zn (GGA-PBE)

Data for an optimized crystal structure of Ho4Mg3Zn.

Cell lengths 3.662, 3.662, 15.366 Å; angles 90.00, 90.00, 90.00 degrees
Space group P4/mmm (No. 123)
Inequivalent atoms, fractional coordinates:
1 Ho 0.000 0.000 0.111 [2 per cell]
2 Ho 0.000 0.000 0.370 [2 per cell]
3 Mg 0.500 0.500 0.242 [2 per cell]
4 Mg 0.500 0.500 0.500 [1 per cell]
5 Zn 0.500 0.500 0.000 [1 per cell]

Calculated values
The formation energy is -0.136 eV/atom. As for the energy above the most stable polymorph in this dataset: 0.000 eV/atom.

## Ho5MgZn3 (GGA-PBE)

Data for an optimized crystal structure of Ho5MgZn3.

Cell lengths 8.7781, 8.7781, 6.5726 Å; angles 90.00, 90.00, 120.00 degrees
Space group P6_3/mcm (No. 193)
Inequivalent atoms, fractional coordinates:
1 Ho 0.0000 0.3158 0.2500 [6 per cell]
2 Ho 0.3333 0.6667 0.0000 [4 per cell]
3 Mg 0.0000 0.0000 0.0000 [2 per cell]
4 Zn 0.0000 0.3492 0.7500 [6 per cell]

Calculated values
The formation energy is -0.183 eV/atom.

## Ho3MgZn4 (GGA-PBE)

Data for an optimized crystal structure of Ho3MgZn4.

Cell lengths 4.9125, 4.9125, 24.4709 Å; angles 90.00, 90.00, 120.00 degrees
Space group R-3m (No. 166, hexagonal axes)
Inequivalent atoms, fractional coordinates:
1 Ho 0.0000 0.0000 0.0000 [3 per cell]
2 Ho 0.0000 0.0000 0.2455 [6 per cell]
3 Mg 0.0000 0.0000 0.5000 [3 per cell]
4 Zn 0.0000 0.0000 0.1252 [6 per cell]
5 Zn 0.0000 0.0000 0.3741 [6 per cell]

Calculated values
The formation energy is -0.325 eV/atom.

## HoMg6Zn6 (GGA-PBE)

Data for an optimized crystal structure of HoMg6Zn6.

Cell lengths 5.468, 9.364, 9.502 Å; angles 90.00, 90.00, 90.00 degrees
Space group Immm (No. 71)
Inequivalent atoms, fractional coordinates:
1 Ho 0.000 0.000 0.000 [2 per cell]
2 Mg 0.000 0.000 0.346 [4 per cell]
3 Mg 0.000 0.305 0.500 [4 per cell]
4 Mg 0.000 0.346 0.000 [4 per cell]
5 Zn 0.000 0.500 0.276 [4 per cell]
6 Zn 0.250 0.250 0.250 [8 per cell]

Calculated values
The formation energy is -0.153 eV/atom.

## HoMg9Zn3 (GGA-PBE)

Data for an optimized crystal structure of HoMg9Zn3.

Cell lengths 5.651, 13.873, 7.453 Å; angles 90.00, 111.06, 90.00 degrees
Space group C2/m (No. 12)
Inequivalent atoms, fractional coordinates:
1 Ho 0.000 0.000 0.000 [2 per cell]
2 Mg 0.000 0.000 0.500 [2 per cell]
3 Mg 0.098 0.392 0.209 [8 per cell]
4 Mg 0.170 0.177 0.340 [8 per cell]
5 Zn 0.000 0.500 0.500 [2 per cell]
6 Zn 0.250 0.250 0.000 [4 per cell]

Calculated values
The formation energy is -0.089 eV/atom.

- What is the formula in the fourth record?
  Ho3MgZn4